Entry from Alexandria: a relaxed structure of Tm2MgTl3 (PBE).

```
Tm2MgTl3
1.0
3.5863 0.0000 0.0000
0.0000 3.5863 0.0000
0.0000 0.0000 11.9445
Tm Mg Tl
2 1 3
Direct
0.5000 0.5000 0.8261
0.5000 0.5000 0.1739
0.5000 0.5000 0.5000
0.0000 0.0000 0.0000
0.0000 0.0000 0.6543
0.0000 0.0000 0.3457
```

Total magnetization ... 0.5 μB/cell
Formation energy ... -199.2 meV per atom